No. 1
DFT (PBE) results for a geometry-optimized ZnH6Os structure.

Calculated values
* total DFT energy (no corrections): -32.17 eV for the cell shown
* crystal system: triclinic

Unit cell a=3.032 b=4.889 c=4.975 alpha=102.60 beta=106.88 gamma=108.04
Fractional positions:
Os  0.560  0.482  0.000
H  0.814  0.825  0.287
H  0.231  0.137  0.719
H  0.451  0.635  0.720
Zn  0.835  0.031  0.004
H  0.861  0.457  0.768
H  0.161  0.614  0.230
H  0.587  0.319  0.271



No. 2
DFT (PBE) results for a geometry-optimized NiGeMo2 structure.

Calculated values
* total DFT energy (no corrections): -31.33 eV for the cell shown
* crystal system: cubic

Unit cell a=4.335 b=4.335 c=4.335 alpha=60.00 beta=60.00 gamma=60.00
Each line ends with the local moment (μB).
Fractional positions:
Ni  0.250  0.250  0.250  0.28
Ge  0.500  0.500  0.500  0.00
Mo  0.750  0.750  0.750  -0.04
Mo  0.000  0.000  0.000  0.28



No. 3
DFT (PBE) results for a geometry-optimized NaGdFeTe3 structure.

Calculated values
* crystal system: monoclinic
* offset from the most stable computed form: 0.000 eV per atom

Unit cell a=8.949 b=4.226 c=10.004 alpha=90.00 beta=103.92 gamma=90.00
Each line ends with the local moment (μB).
Fractional positions:
Te  0.266  0.250  0.472  0.10
Na  0.297  0.750  0.744  0.00
Te  0.069  0.250  0.829  0.03
Te  0.734  0.750  0.528  0.10
Te  0.426  0.750  0.153  0.09
Fe  0.435  0.750  0.421  3.06
Fe  0.565  0.250  0.579  3.06
Gd  0.174  0.250  0.147  0.05
Te  0.931  0.750  0.171  0.03
Gd  0.826  0.750  0.853  0.05
Na  0.703  0.250  0.256  0.00
Te  0.574  0.250  0.847  0.09



No. 4
DFT (PBE) results for a geometry-optimized SmFeSb2 structure.

Calculated values
* total DFT energy (no corrections): -46.52 eV for the cell shown
* crystal system: tetragonal

Unit cell a=4.333 b=4.333 c=9.734 alpha=90.00 beta=90.00 gamma=90.00
Each line ends with the local moment (μB).
Fractional positions:
Sb  0.500  0.000  0.637  -0.04
Sm  0.500  0.000  0.259  -0.03
Sm  0.000  0.500  0.741  -0.03
Fe  0.000  0.000  0.500  1.45
Sb  0.000  0.500  0.363  -0.04
Fe  0.500  0.500  0.500  1.45
Sb  0.500  0.500  0.000  0.00
Sb  0.000  0.000  0.000  0.00



No. 5
DFT (PBE) results for a geometry-optimized LiIrPd structure.

Calculated values
* crystal system: cubic
* offset from the most stable computed form: 0.000 eV per atom

Unit cell a=4.170 b=4.170 c=4.170 alpha=60.00 beta=60.00 gamma=60.00
Fractional positions:
Pd  0.000  0.000  0.000
Li  0.750  0.750  0.750
Ir  0.250  0.250  0.250



No. 6
DFT (PBE) results for a geometry-optimized LiBeAsPd structure.

Calculated values
* crystal system: cubic
* offset from the most stable computed form: 0.000 eV per atom

Unit cell a=4.186 b=4.186 c=4.186 alpha=60.00 beta=60.00 gamma=60.00
Fractional positions:
Be  0.750  0.750  0.750
Li  0.250  0.250  0.250
Pd  0.000  0.000  0.000
As  0.500  0.500  0.500



No. 7
DFT (PBE) results for a geometry-optimized NbTlAs structure.

Calculated values
* crystal system: cubic
* offset from the most stable computed form: 0.000 eV per atom

Unit cell a=4.645 b=4.645 c=4.645 alpha=60.00 beta=60.00 gamma=60.00
Each line ends with the local moment (μB).
Fractional positions:
As  0.250  0.250  0.250  -0.02
Nb  0.000  0.000  0.000  0.94
Tl  0.750  0.750  0.750  0.01



No. 8
DFT (PBE) results for a geometry-optimized ZrZn2Fe structure.

Calculated values
* DFT formation energy: -36 meV/atom
* crystal system: cubic

Unit cell a=4.443 b=4.443 c=4.443 alpha=60.00 beta=60.00 gamma=60.00
Fractional positions:
Fe  0.750  0.750  0.750
Zn  0.250  0.250  0.250
Zn  0.000  0.000  0.000
Zr  0.500  0.500  0.500